Density functional theory data (PBE with a Hubbard U) for a relaxed structure of DyCr2CdO8.

Geometry as extended XYZ:
```
12
Lattice="6.004 -0.030 0.000 -2.690 5.368 0.000 -1.657 -2.669 5.117" Properties=species:S:1:pos:R:3 pbc="T T T"
Dy 0.000 0.000 0.000
Cr 3.002 -0.015 2.558
Cr 1.657 2.669 0.000
Cd -1.345 2.684 2.558
O 1.626 -0.390 1.587
O 0.326 2.260 0.915
O 0.224 -1.374 4.201
O 3.277 -1.415 3.530
O 2.988 3.078 0.915
O 4.378 0.359 1.587
O 2.727 1.384 3.530
O -0.224 1.374 4.201
```

## Properties
* electronic total energy: -6.75 eV per atom
* SG: I-4m2 (119)